This record from Alexandria via LeMat-Bulk describes DyY4N4 after structural relaxation. The functional is PBE.

Summary:
* formation energy from raw total energies: -1496.9 meV/atom
* calculated total energy: -77.23 eV per formula unit
* Fermi-level density of states: 2.8 states/eV/f.u.
* V: 151.0 Å³ per cell

Cell and atoms, written as POSCAR:
```
DyY4N4
1.0
4.574 0.000 1.834
2.248 5.534 1.016
0.228 -0.108 6.053
Dy N Y
1 4 4
Direct
0.000 0.000 0.000
0.297 0.801 0.604
0.099 0.604 0.198
0.703 0.199 0.396
0.901 0.396 0.802
0.812 0.797 0.579
0.391 0.421 0.797
0.188 0.203 0.421
0.609 0.579 0.203
```